a | ## TcPt3Rh (GGA-PBE)

Data for crystalline TcPt3Rh at its relaxed geometry.

Output
Total magnetization: 0.00 μB/cell

Lattice parameters (Å, degrees): 5.4685 3.8347 7.8805 90.00 100.98 90.00
Atoms (fractional coordinates):
Tc: 0.1432 0.2500 0.0913
Tc: 0.8568 0.7500 0.9087
Pt: 0.0559 0.2500 0.7344
Pt: 0.2390 0.2500 0.4410
Pt: 0.3508 0.7500 0.9124
Pt: 0.6492 0.2500 0.0876
Pt: 0.7610 0.7500 0.5590
Pt: 0.9441 0.7500 0.2656
Rh: 0.4400 0.7500 0.2686
Rh: 0.5600 0.2500 0.7314

---

b | ## TcPt3Rh (GGA-PBE)

Data for crystalline TcPt3Rh at its relaxed geometry.

Output
Total magnetization: 0.00 μB/cell

Lattice parameters (Å, degrees): 4.7283 4.7283 4.7283 90.00 90.00 90.00
Atoms (fractional coordinates):
Tc: 0.0000 0.0000 0.0000
Pt: 0.0000 0.0000 0.5000
Pt: 0.0000 0.5000 0.0000
Pt: 0.5000 0.0000 0.0000
Rh: 0.5000 0.5000 0.5000

---

Stability summary: most stable a, least stable b.

---

a | ## TcPt3Rh2 (GGA-PBE)

Data for crystalline TcPt3Rh2 at its relaxed geometry.

Output
Total magnetization: 0.00 μB/cell

Lattice parameters (Å, degrees): 4.7145 17.2185 2.6941 90.00 90.00 90.00
Atoms (fractional coordinates):
Tc: 0.0000 0.0000 0.0000
Tc: 0.5000 0.5000 0.5000
Pt: 0.0000 0.5000 0.0000
Pt: 0.0399 0.2430 0.5000
Pt: 0.4601 0.7430 0.0000
Pt: 0.5000 0.0000 0.5000
Pt: 0.5399 0.2570 0.0000
Pt: 0.9601 0.7570 0.5000
Rh: 0.2391 0.1201 0.0000
Rh: 0.2609 0.6201 0.5000
Rh: 0.7391 0.3799 0.5000
Rh: 0.7609 0.8799 0.0000

---

b | ## TcPt3Rh2 (GGA-PBE)

Data for crystalline TcPt3Rh2 at its relaxed geometry.

Output
Total magnetization: 0.00 μB/cell

Lattice parameters (Å, degrees): 5.5548 3.8804 8.2985 90.00 90.28 90.00
Atoms (fractional coordinates):
Tc: 0.1262 0.2500 0.2461
Tc: 0.8738 0.7500 0.7539
Pt: 0.1205 0.2500 0.5828
Pt: 0.3688 0.7500 0.7473
Pt: 0.3724 0.7500 0.0896
Pt: 0.6276 0.2500 0.9104
Pt: 0.6312 0.2500 0.2527
Pt: 0.8795 0.7500 0.4172
Rh: 0.1155 0.2500 0.9190
Rh: 0.3713 0.7500 0.4106
Rh: 0.6287 0.2500 0.5894
Rh: 0.8845 0.7500 0.0810

---

Stability summary: most stable b, least stable a.